The following is a GGA-PBE calculation of crystalline AcInAgIr at its relaxed geometry, from Alexandria.

## Properties
The value obtained for the uncorrected energy is -4.821 eV per atom. The energy of formation from the pure elements comes out at -0.182 eV/atom. The crystal system is cubic. Its space group is F-43m (216).

abc: 5.104 5.104 5.104
angles: 60.00 60.00 60.00
Element x y z (fractional)
Ac  0.000  0.000  0.000
Ir  0.750  0.750  0.750
Ag  0.250  0.250  0.250
In  0.500  0.500  0.500

The following is a GGA-PBE calculation of crystalline La6IrAu2 at its relaxed geometry, from Alexandria.

## Properties
The value obtained for the uncorrected energy is -5.564 eV per atom. The energy of formation from the pure elements comes out at -0.566 eV/atom. The crystal system is monoclinic. Its space group is P2_1/c (14).

abc: 7.095 7.665 10.808
angles: 90.00 94.46 90.00
Element x y z (fractional)
La  0.854  0.962  0.245
La  0.828  0.682  0.569
La  0.815  0.695  0.937
La  0.685  0.195  0.563
La  0.672  0.182  0.931
La  0.646  0.462  0.255
La  0.146  0.038  0.755
La  0.172  0.318  0.431
La  0.185  0.305  0.063
La  0.315  0.805  0.437
La  0.328  0.818  0.069
La  0.354  0.538  0.745
Ir  0.500  0.500  0.000
Ir  0.000  0.000  0.500
Au  0.946  0.396  0.772
Au  0.554  0.896  0.728
Au  0.446  0.104  0.272
Au  0.054  0.604  0.228